This record from Alexandria describes crystalline KNpWO6 at its relaxed geometry. The functional is GGA+U.

Output
SG: Imma, No. 74
raw total energy: -8.043 eV per atom

a b c (Å): 7.6641 7.6641 7.6641
angles (deg): 121.45 119.21 89.44
Element x y z (fractional)
1 K 0.3910 0.1410 0.2500
2 K 0.6090 0.8590 0.7500
3 Np 0.0000 0.5000 0.5000
4 Np 0.5000 0.5000 0.0000
5 W 0.0000 0.0000 0.5000
6 W 0.0000 0.5000 0.0000
7 O 0.0492 0.7992 0.2500
8 O 0.0580 0.4273 0.2271
9 O 0.0580 0.8309 0.6307
10 O 0.2997 0.1691 0.7271
11 O 0.2997 0.5727 0.1307
12 O 0.3266 0.5766 0.7500
13 O 0.6734 0.4234 0.2500
14 O 0.7003 0.4273 0.8693
15 O 0.7003 0.8309 0.2729
16 O 0.9420 0.1691 0.3693
17 O 0.9420 0.5727 0.7729
18 O 0.9508 0.2008 0.7500